First-principles (PBE) data for a relaxed LaDyInPb crystal, as listed in Alexandria.

Results
ΔH_f (0 K) in eV/atom: -0.49
Crystal system: tetragonal
Total magnetic moment in Bohr magnetons per cell: 0.000
N(E_F) in states/eV/cell: 3.38
Excess energy over the best structure of this formula in the dataset in eV/atom: 0.000

a = 5.766 Å, b = 5.766 Å, c = 5.766 Å
α = 127.56°, β = 127.56°, γ = 77.33°
Fractional coordinates of all 4 atoms:
La 0.000 0.000 0.000
Dy 0.500 0.500 0.000
In 0.250 0.750 0.500
Pb 0.750 0.250 0.500